# 1
AcAl2Ni2 | PBE-GGA | optimized geometry

Unit cell a=4.226 b=4.687 c=5.488 alpha=105.21 beta=112.64 gamma=90.00
Atoms (fractional coordinates):
Ac1 0.000 0.000 0.000
Al1 0.662 0.595 0.325
Al2 0.338 0.405 0.675
Ni1 0.743 0.151 0.486
Ni2 0.257 0.849 0.514

Summary:
Theoretical density (g cm⁻³): 6.88
Energy relative to the elements (eV per atom): -0.49
DOS at the Fermi energy (states/eV/f.u.): 2.54

---

# 2
Nb2CSe | PBE-GGA | optimized geometry

Unit cell a=4.308 b=4.308 c=4.308 alpha=60.00 beta=60.00 gamma=60.00
Atoms (fractional coordinates):
Nb1 0.250 0.250 0.250
C1 0.000 0.000 0.000
Nb2 0.750 0.750 0.750
Se1 0.500 0.500 0.500

Summary:
Theoretical density (g cm⁻³): 8.13
DOS at the Fermi energy (states/eV/f.u.): 1.22
Formation energy (no corrections) (meV per atom): 263.7

---

# 3
Pm2DyY6Ho3 | PBE-GGA | optimized geometry

Unit cell a=6.184 b=6.184 c=11.821 alpha=94.98 beta=94.98 gamma=119.95
Atoms (fractional coordinates):
Dy1 0.000 0.000 0.000
Y1 0.084 0.417 0.252
Y2 0.916 0.583 0.748
Y3 0.417 0.084 0.252
Ho1 0.166 0.834 0.500
Pm1 0.333 0.667 0.000
Y4 0.752 0.752 0.252
Y5 0.248 0.248 0.748
Y6 0.583 0.916 0.748
Pm2 0.667 0.333 0.000
Ho2 0.834 0.166 0.500
Ho3 0.500 0.500 0.500

Summary:
Theoretical density (g cm⁻³): 6.38
Energy relative to the elements (eV per atom): 0.02
DOS at the Fermi energy (states/eV/f.u.): 16.92

---

# 4
Ho6Te3Ir2Au | PBE-GGA | optimized geometry

Unit cell a=7.198 b=7.198 c=7.629 alpha=99.02 beta=99.02 gamma=119.89
Atoms (fractional coordinates):
Ho1 0.573 0.929 0.788
Ho2 0.071 0.427 0.212
Ir1 0.668 0.332 0.000
Te1 0.160 0.840 0.500
Te2 0.840 0.160 0.500
Te3 0.500 0.500 0.500
Ho3 0.427 0.071 0.212
Ir2 0.332 0.668 0.000
Ho4 0.929 0.573 0.788
Au1 0.000 0.000 0.000
Ho5 0.713 0.713 0.207
Ho6 0.287 0.287 0.793

Summary:
Theoretical density (g cm⁻³): 9.97
DOS at the Fermi energy (states/eV/f.u.): 5.27
Formation energy (no corrections) (meV per atom): -1069.8

---

# 5
HoZn6Ni4 | PBE-GGA | optimized geometry

Unit cell a=6.304 b=6.304 c=6.304 alpha=88.86 beta=120.66 gamma=120.66
Atoms (fractional coordinates):
Ho1 0.000 0.000 0.000
Zn1 0.500 0.000 0.500
Ni1 0.000 0.592 0.264
Zn2 0.000 0.516 0.896
Ni2 0.000 0.264 0.592
Ni3 0.671 0.408 0.408
Zn3 0.500 0.500 0.000
Zn4 0.000 0.896 0.516
Zn5 0.379 0.484 0.484
Ni4 0.329 0.736 0.736
Zn6 0.621 0.104 0.104

Summary:
Theoretical density (g cm⁻³): 7.50
Energy relative to the elements (eV per atom): -0.16
DOS at the Fermi energy (states/eV/f.u.): 6.52

---

# 6
Ti2TcOs | PBE-GGA | optimized geometry

Unit cell a=4.381 b=4.381 c=4.381 alpha=60.00 beta=60.00 gamma=60.00
Atoms (fractional coordinates):
Tc1 0.000 0.000 0.000
Os1 0.500 0.500 0.500
Ti1 0.250 0.250 0.250
Ti2 0.750 0.750 0.750

Summary:
Theoretical density (g cm⁻³): 10.73
Energy relative to the elements (eV per atom): -0.63
DOS at the Fermi energy (states/eV/f.u.): 3.97

---

# 7
BaYPt3 | PBE-GGA | optimized geometry

Unit cell a=5.280 b=5.280 c=5.280 alpha=90.00 beta=90.00 gamma=90.00
Atoms (fractional coordinates):
Pt1 0.500 0.000 0.000
Pt2 0.000 0.500 0.000
Pt3 0.000 0.000 0.500
Ba1 0.500 0.500 0.500
Y1 0.000 0.000 0.000

Summary:
Theoretical density (g cm⁻³): 9.16
Energy relative to the elements (eV per atom): -0.19
DOS at the Fermi energy (states/eV/f.u.): 3.43

---

# 8
FeCo2As | PBE-GGA | optimized geometry

Unit cell a=2.988 b=2.988 c=5.523 alpha=90.00 beta=90.00 gamma=90.01
Atoms (fractional coordinates):
As1 0.500 0.500 0.750
Fe1 0.500 0.500 0.250
Co1 0.000 0.000 0.006
Co2 0.000 0.000 0.494

Summary:
Theoretical density (g cm⁻³): 8.37
Energy relative to the elements (eV per atom): 0.02
DOS at the Fermi energy (states/eV/f.u.): 3.36

---

# 9
Y2FeRhC | PBE-GGA | optimized geometry

Unit cell a=4.941 b=4.941 c=3.614 alpha=90.00 beta=90.00 gamma=90.00
Atoms (fractional coordinates):
Y1 0.000 0.500 0.000
Fe1 0.000 0.000 0.500
Rh1 0.500 0.500 0.500
Y2 0.500 0.000 0.000
C1 0.000 0.000 0.000

Summary:
Theoretical density (g cm⁻³): 6.56
Energy relative to the elements (eV per atom): -0.40
DOS at the Fermi energy (states/eV/f.u.): 3.36

---

# 10
Ce2MgTl | PBE-GGA | optimized geometry

Unit cell a=4.205 b=4.205 c=6.414 alpha=90.00 beta=90.00 gamma=90.00
Atoms (fractional coordinates):
Tl1 0.500 0.500 0.500
Mg1 0.500 0.500 0.000
Ce1 0.000 0.000 0.722
Ce2 0.000 0.000 0.278

Summary:
Theoretical density (g cm⁻³): 7.45
Energy relative to the elements (eV per atom): -0.07
DOS at the Fermi energy (states/eV/f.u.): 11.15

---

# 11
TbHo2Tm | PBE-GGA | optimized geometry

Unit cell a=3.515 b=3.515 c=9.956 alpha=90.00 beta=90.00 gamma=90.00
Atoms (fractional coordinates):
Ho1 0.000 0.000 0.248
Tb1 0.500 0.500 0.500
Ho2 0.000 0.000 0.752
Tm1 0.500 0.500 0.000

Summary:
Theoretical density (g cm⁻³): 8.88
Energy relative to the elements (eV per atom): 0.02
DOS at the Fermi energy (states/eV/f.u.): 5.12

---

# 12
CaNd5Tm4 | PBE-GGA | optimized geometry

Unit cell a=3.625 b=3.625 c=25.540 alpha=90.00 beta=90.00 gamma=90.00
Atoms (fractional coordinates):
Tm1 0.000 0.000 0.598
Nd1 0.500 0.500 0.500
Ca1 0.000 0.000 0.000
Tm2 0.000 0.000 0.206
Nd2 0.500 0.500 0.695
Nd3 0.500 0.500 0.111
Tm3 0.000 0.000 0.402
Nd4 0.500 0.500 0.305
Tm4 0.000 0.000 0.794
Nd5 0.500 0.500 0.889

Summary:
Theoretical density (g cm⁻³): 7.11
Energy relative to the elements (eV per atom): 0.03
DOS at the Fermi energy (states/eV/f.u.): 15.17

---

# 13
SiNi4Ru | PBE-GGA | optimized geometry

Unit cell a=4.643 b=4.643 c=4.643 alpha=60.00 beta=60.00 gamma=60.00
Atoms (fractional coordinates):
Ni1 0.375 0.375 0.375
Ni2 0.375 0.875 0.375
Ni3 0.375 0.375 0.875
Si1 0.000 0.000 0.000
Ni4 0.875 0.375 0.375
Ru1 0.750 0.750 0.750

Summary:
Theoretical density (g cm⁻³): 8.54
DOS at the Fermi energy (states/eV/f.u.): 9.55
Formation energy (no corrections) (meV per atom): 126.8

---

# 14
NiTeI2N | PBE-GGA | optimized geometry

Unit cell a=5.755 b=5.755 c=3.518 alpha=90.00 beta=90.00 gamma=90.00
Atoms (fractional coordinates):
N1 0.000 0.000 0.500
I1 0.500 0.000 0.000
Ni1 0.000 0.000 0.000
Te1 0.500 0.500 0.500
I2 0.000 0.500 0.000

Summary:
Theoretical density (g cm⁻³): 6.47
DOS at the Fermi energy (states/eV/f.u.): 5.44
Formation energy (no corrections) (meV per atom): 663.3